A plane-wave DFT calculation with GGA-PBE was carried out for a relaxed CaZn4Fe crystal.

Cell lengths 5.182, 5.182, 5.182 Å; angles 60.00, 60.00, 60.00 degrees
Fractional coordinates of all 6 atoms:
Ca1 0.000 0.000 0.000
Zn1 0.376 0.376 0.376
Zn2 0.376 0.376 0.871
Zn3 0.376 0.871 0.376
Zn4 0.871 0.376 0.376
Fe1 0.750 0.750 0.750

---

A plane-wave DFT calculation with GGA-PBE was carried out for a relaxed CaZn3Fe crystal.

Computed properties:
energy relative to the lowest polymorph listed for this composition	1.2836	eV per atom

Cell lengths 5.455, 5.455, 5.455 Å; angles 90.00, 90.00, 90.00 degrees
Fractional coordinates of all 5 atoms:
Ca1 0.000 0.000 0.000
Zn1 0.000 0.000 0.500
Zn2 0.000 0.500 0.000
Zn3 0.500 0.000 0.000
Fe1 0.500 0.500 0.500

---

A plane-wave DFT calculation with GGA-PBE was carried out for a relaxed CaZn2Fe2 crystal.

Cell lengths 7.571, 7.571, 2.712 Å; angles 90.00, 90.00, 90.00 degrees
Fractional coordinates of all 10 atoms:
Ca1 0.000 0.000 0.000
Ca2 0.500 0.500 0.000
Zn1 0.177 0.323 0.500
Zn2 0.323 0.823 0.500
Zn3 0.677 0.177 0.500
Zn4 0.823 0.677 0.500
Fe1 0.112 0.612 0.000
Fe2 0.388 0.112 0.000
Fe3 0.612 0.888 0.000
Fe4 0.888 0.388 0.000

---

A plane-wave DFT calculation with GGA-PBE was carried out for a relaxed CaZnFe2 crystal.

Cell lengths 2.934, 4.340, 5.726 Å; angles 90.00, 100.17, 90.00 degrees
Fractional coordinates of all 4 atoms:
Ca1 0.000 0.000 0.000
Zn1 0.500 0.000 0.500
Fe1 0.286 0.500 0.663
Fe2 0.714 0.500 0.337

---

A plane-wave DFT calculation with GGA-PBE was carried out for a relaxed CaZnFe2 crystal.

Cell lengths 5.004, 5.004, 5.004 Å; angles 133.11, 133.11, 68.47 degrees
Fractional coordinates of all 4 atoms:
Ca1 0.000 0.000 0.000
Zn1 0.500 0.500 0.000
Fe1 0.250 0.750 0.500
Fe2 0.750 0.250 0.500

---

A plane-wave DFT calculation with GGA-PBE was carried out for a relaxed CaZnFe2 crystal.

Cell lengths 5.489, 5.489, 5.489 Å; angles 148.15, 127.91, 62.37 degrees
Fractional coordinates of all 4 atoms:
Ca1 0.000 0.000 0.000
Zn1 0.710 0.210 0.500
Fe1 0.287 0.787 0.500
Fe2 0.478 0.478 0.000

---

A plane-wave DFT calculation with GGA-PBE was carried out for a relaxed CaZr2Fe crystal.

Computed properties:
energy relative to the lowest polymorph listed for this composition	0.4257	eV per atom

Cell lengths 5.009, 5.009, 5.009 Å; angles 60.00, 60.00, 60.00 degrees
Fractional coordinates of all 4 atoms:
Ca1 0.000 0.000 0.000
Zr1 0.500 0.500 0.500
Zr2 0.750 0.750 0.750
Fe1 0.250 0.250 0.250

---

A plane-wave DFT calculation with GGA-PBE was carried out for a relaxed Ca2ZrFe crystal.

Computed properties:
energy relative to the lowest polymorph listed for this composition	0.4281	eV per atom

Cell lengths 4.298, 4.311, 5.249 Å; angles 90.00, 90.00, 90.00 degrees
Fractional coordinates of all 4 atoms:
Ca1 0.000 0.000 0.000
Ca2 0.500 0.500 0.000
Zr1 0.000 0.500 0.500
Fe1 0.500 0.000 0.500

---

A plane-wave DFT calculation with GGA-PBE was carried out for a relaxed Ca2ZrFe crystal.

Computed properties:
energy relative to the lowest polymorph listed for this composition	0.0000	eV per atom

Cell lengths 3.448, 3.444, 8.919 Å; angles 90.00, 90.11, 90.00 degrees
Fractional coordinates of all 4 atoms:
Ca1 0.000 0.000 0.000
Ca2 0.498 0.500 0.357
Zr1 0.499 0.500 0.711
Fe1 0.998 0.000 0.589

---

A plane-wave DFT calculation with GGA-PBE was carried out for a relaxed Ca2ZrFe crystal.

Computed properties:
energy relative to the lowest polymorph listed for this composition	0.4881	eV per atom

Cell lengths 7.901, 7.901, 7.901 Å; angles 94.82, 94.82, 146.29 degrees
Fractional coordinates of all 8 atoms:
Ca1 0.375 0.027 0.152
Ca2 0.777 0.625 0.652
Ca3 0.875 0.223 0.848
Ca4 0.973 0.125 0.348
Zr1 0.250 0.750 0.500
Zr2 0.500 0.500 0.000
Fe1 0.000 0.000 0.000
Fe2 0.750 0.250 0.500

---

A plane-wave DFT calculation with GGA-PBE was carried out for a relaxed Ca2ZrFe crystal.

Computed properties:
energy relative to the lowest polymorph listed for this composition	0.1333	eV per atom

Cell lengths 9.049, 9.049, 9.049 Å; angles 159.06, 154.89, 32.91 degrees
Fractional coordinates of all 4 atoms:
Ca1 0.159 0.159 0.000
Ca2 0.841 0.841 0.000
Zr1 0.500 0.000 0.500
Fe1 0.000 0.500 0.500

---

A plane-wave DFT calculation with GGA-PBE was carried out for a relaxed Ca2ZrFe crystal.

Computed properties:
energy relative to the lowest polymorph listed for this composition	0.1562	eV per atom

Cell lengths 4.360, 4.360, 8.446 Å; angles 104.24, 104.24, 50.69 degrees
Fractional coordinates of all 4 atoms:
Ca1 0.000 0.000 0.000
Ca2 0.167 0.167 0.578
Zr1 0.787 0.787 0.289
Fe1 0.482 0.482 0.287

---

A plane-wave DFT calculation with GGA-PBE was carried out for a relaxed CaZr2Fe crystal.

Computed properties:
energy relative to the lowest polymorph listed for this composition	0.0832	eV per atom

Cell lengths 9.459, 9.459, 9.459 Å; angles 21.17, 21.17, 21.17 degrees
Fractional coordinates of all 4 atoms:
Ca1 0.000 0.000 0.000
Zr1 0.223 0.223 0.223
Zr2 0.777 0.777 0.777
Fe1 0.500 0.500 0.500

---

A plane-wave DFT calculation with GGA-PBE was carried out for a relaxed CaZr2Fe crystal.

Computed properties:
energy relative to the lowest polymorph listed for this composition	0.3690	eV per atom

Cell lengths 4.701, 3.801, 4.946 Å; angles 90.00, 90.46, 90.00 degrees
Fractional coordinates of all 4 atoms:
Ca1 0.000 0.000 0.000
Zr1 0.000 0.500 0.500
Zr2 0.500 0.000 0.500
Fe1 0.500 0.500 0.000

---

A plane-wave DFT calculation with GGA-PBE was carried out for a relaxed Ca2ZrFe crystal.

Computed properties:
energy relative to the lowest polymorph listed for this composition	0.4779	eV per atom

Cell lengths 3.263, 5.079, 6.207 Å; angles 90.00, 102.16, 90.00 degrees
Fractional coordinates of all 4 atoms:
Ca1 0.083 0.000 0.263
Ca2 0.917 0.000 0.737
Zr1 0.500 0.500 0.000
Fe1 0.500 0.500 0.500

---

A plane-wave DFT calculation with GGA-PBE was carried out for a relaxed CaZr2Fe crystal.

Computed properties:
energy relative to the lowest polymorph listed for this composition	0.3938	eV per atom

Cell lengths 6.168, 6.168, 3.060 Å; angles 102.63, 102.63, 121.65 degrees
Fractional coordinates of all 4 atoms:
Ca1 0.000 0.000 0.000
Zr1 0.000 0.500 0.500
Zr2 0.500 0.000 0.500
Fe1 0.500 0.500 0.000

---

A plane-wave DFT calculation with GGA-PBE was carried out for a relaxed Ca2ZrFe crystal.

Computed properties:
energy relative to the lowest polymorph listed for this composition	0.4436	eV per atom

Cell lengths 6.103, 6.103, 6.103 Å; angles 138.99, 138.99, 59.39 degrees
Fractional coordinates of all 4 atoms:
Ca1 0.250 0.750 0.500
Ca2 0.750 0.250 0.500
Zr1 0.000 0.000 0.000
Fe1 0.500 0.500 0.000

---

A plane-wave DFT calculation with GGA-PBE was carried out for a relaxed CaZr2Fe crystal.

Computed properties:
energy relative to the lowest polymorph listed for this composition	0.1050	eV per atom

Cell lengths 3.679, 3.481, 7.855 Å; angles 90.00, 103.48, 90.00 degrees
Fractional coordinates of all 4 atoms:
Ca1 0.000 0.000 0.000
Zr1 0.298 0.000 0.599
Zr2 0.668 0.500 0.337
Fe1 0.826 0.500 0.656

---

A plane-wave DFT calculation with GGA-PBE was carried out for a relaxed CaZr2Fe crystal.

Computed properties:
energy relative to the lowest polymorph listed for this composition	0.4084	eV per atom

Cell lengths 5.470, 5.470, 5.470 Å; angles 132.21, 132.21, 69.89 degrees
Fractional coordinates of all 4 atoms:
Ca1 0.000 0.000 0.000
Zr1 0.500 0.500 0.000
Zr2 0.750 0.250 0.500
Fe1 0.250 0.750 0.500

---

A plane-wave DFT calculation with GGA-PBE was carried out for a relaxed CaZr2Fe crystal.

Computed properties:
energy relative to the lowest polymorph listed for this composition	0.0288	eV per atom

Cell lengths 5.872, 5.872, 5.872 Å; angles 147.26, 125.78, 64.80 degrees
Fractional coordinates of all 4 atoms:
Ca1 0.000 0.000 0.000
Zr1 0.306 0.806 0.500
Zr2 0.694 0.194 0.500
Fe1 0.500 0.500 0.000

---

no.,E (eV per atom)
1,-2.577
2,-1.505
3,-4.179
4,-4.664
5,-4.602
6,-4.706
7,-6.328
8,-4.667
9,-5.095
10,-4.607
11,-4.962
12,-4.939
13,-6.671
14,-6.385
15,-4.617
16,-6.360
17,-4.651
18,-6.649
19,-6.345
20,-6.725